Entry 1:
Computed, not measured: a relaxed structure of Cs12Cd3Au5 at the GGA-PBE level of DFT.

Cell: 19.223 19.223 19.223 Å, 109.47 109.47 109.47°
Sites, in units of the cell vectors:
Cs1 0.037 0.212 0.124
Cs2 0.037 0.326 0.913
Cs3 0.087 0.624 0.412
Cs4 0.087 0.963 0.674
Cs5 0.088 0.712 0.674
Cs6 0.088 0.876 0.413
Cs7 0.124 0.037 0.212
Cs8 0.124 0.587 0.912
Cs9 0.174 0.212 0.588
Cs10 0.174 0.463 0.587
Cs11 0.212 0.124 0.037
Cs12 0.212 0.588 0.174
Cs13 0.288 0.326 0.912
Cs14 0.288 0.463 0.376
Cs15 0.326 0.912 0.288
Cs16 0.326 0.913 0.037
Cs17 0.376 0.288 0.463
Cs18 0.376 0.588 0.913
Cs19 0.412 0.087 0.624
Cs20 0.412 0.826 0.788
Cs21 0.413 0.088 0.876
Cs22 0.413 0.826 0.537
Cs23 0.463 0.376 0.288
Cs24 0.463 0.587 0.174
Cs25 0.537 0.413 0.826
Cs26 0.537 0.624 0.712
Cs27 0.587 0.174 0.463
Cs28 0.587 0.912 0.124
Cs29 0.588 0.174 0.212
Cs30 0.588 0.913 0.376
Cs31 0.624 0.412 0.087
Cs32 0.624 0.712 0.537
Cs33 0.674 0.087 0.963
Cs34 0.674 0.088 0.712
Cs35 0.712 0.537 0.624
Cs36 0.712 0.674 0.088
Cs37 0.788 0.412 0.826
Cs38 0.788 0.876 0.963
Cs39 0.826 0.537 0.413
Cs40 0.826 0.788 0.412
Cs41 0.876 0.413 0.088
Cs42 0.876 0.963 0.788
Cs43 0.912 0.124 0.587
Cs44 0.912 0.288 0.326
Cs45 0.913 0.037 0.326
Cs46 0.913 0.376 0.588
Cs47 0.963 0.674 0.087
Cs48 0.963 0.788 0.876
Cd1 0.125 0.250 0.375
Cd2 0.125 0.375 0.750
Cd3 0.250 0.375 0.125
Cd4 0.250 0.875 0.625
Cd5 0.375 0.125 0.250
Cd6 0.375 0.750 0.125
Cd7 0.625 0.250 0.875
Cd8 0.625 0.875 0.750
Cd9 0.750 0.125 0.375
Cd10 0.750 0.625 0.875
Cd11 0.875 0.625 0.250
Cd12 0.875 0.750 0.625
Au1 0.000 0.000 0.000
Au2 0.000 0.000 0.500
Au3 0.000 0.500 0.000
Au4 0.000 0.500 0.500
Au5 0.125 0.750 0.875
Au6 0.125 0.875 0.250
Au7 0.250 0.125 0.875
Au8 0.250 0.625 0.375
Au9 0.375 0.250 0.625
Au10 0.375 0.625 0.750
Au11 0.500 0.000 0.000
Au12 0.500 0.000 0.500
Au13 0.500 0.500 0.000
Au14 0.500 0.500 0.500
Au15 0.625 0.375 0.250
Au16 0.625 0.750 0.375
Au17 0.750 0.375 0.625
Au18 0.750 0.875 0.125
Au19 0.875 0.125 0.750
Au20 0.875 0.250 0.125

Properties
- calculated formation energy (eV/f.u.) = -1.79
- space-group type = Ia-3d

***

Entry 2:
Computed, not measured: a relaxed structure of LuTcMoOs at the GGA-PBE level of DFT.

Cell: 6.425 6.425 6.425 Å, 90.00 90.00 90.00°
Sites, in units of the cell vectors:
Lu1 0.000 0.000 0.000
Lu2 0.000 0.500 0.500
Lu3 0.500 0.000 0.500
Lu4 0.500 0.500 0.000
Tc1 0.250 0.250 0.250
Tc2 0.250 0.750 0.750
Tc3 0.750 0.250 0.750
Tc4 0.750 0.750 0.250
Mo1 0.000 0.000 0.500
Mo2 0.000 0.500 0.000
Mo3 0.500 0.000 0.000
Mo4 0.500 0.500 0.500
Os1 0.250 0.250 0.750
Os2 0.250 0.750 0.250
Os3 0.750 0.250 0.250
Os4 0.750 0.750 0.750

Properties
- calculated formation energy (eV/f.u.) = -0.29
- space-group type = F-43m

***

Entry 3:
Computed, not measured: a relaxed structure of Pu2ScCo9 at the GGA-PBE level of DFT.

Cell: 8.632 8.632 8.632 Å, 32.62 32.62 32.62°
Sites, in units of the cell vectors:
Pu1 0.139 0.139 0.139
Pu2 0.861 0.861 0.861
Sc1 0.000 0.000 0.000
Co1 0.081 0.581 0.581
Co2 0.333 0.333 0.333
Co3 0.419 0.419 0.919
Co4 0.419 0.919 0.419
Co5 0.500 0.500 0.500
Co6 0.581 0.081 0.581
Co7 0.581 0.581 0.081
Co8 0.667 0.667 0.667
Co9 0.919 0.419 0.419

Properties
- calculated formation energy (eV/f.u.) = -1.88
- space-group type = R-3m

***

Entry 4:
Computed, not measured: a relaxed structure of Pu3Mg3MnN8 at the GGA-PBE level of DFT.

Cell: 6.376 6.376 6.376 Å, 61.73 61.73 61.73°
Sites, in units of the cell vectors:
Pu1 0.000 0.500 0.500
Pu2 0.500 0.000 0.500
Pu3 0.500 0.500 0.000
Mg1 0.000 0.000 0.500
Mg2 0.000 0.500 0.000
Mg3 0.500 0.000 0.000
Mn1 0.000 0.000 0.000
N1 0.226 0.226 0.765
N2 0.226 0.765 0.226
N3 0.235 0.774 0.774
N4 0.248 0.248 0.248
N5 0.752 0.752 0.752
N6 0.765 0.226 0.226
N7 0.774 0.235 0.774
N8 0.774 0.774 0.235

Properties
- raw formation energy (meV/atom) = -778
- space-group type = R-3m

***

Entry 5:
Computed, not measured: a relaxed structure of RbNiSb at the GGA-PBE level of DFT.

Cell: 4.305 4.305 5.803 Å, 90.00 90.00 120.00°
Sites, in units of the cell vectors:
Rb1 0.000 0.000 0.000
Ni1 0.333 0.667 0.500
Sb1 0.667 0.333 0.500

Properties
- raw formation energy (meV/atom) = -91
- space-group type = P-6m2

***

Entry 6:
Computed, not measured: a relaxed structure of KRb5Au4 at the GGA-PBE level of DFT.

Cell: 9.509 9.509 9.509 Å, 147.67 102.67 86.31°
Sites, in units of the cell vectors:
K1 0.000 0.000 0.000
Rb1 0.023 0.335 0.687
Rb2 0.352 0.665 0.687
Rb3 0.500 0.500 0.000
Rb4 0.648 0.335 0.313
Rb5 0.977 0.665 0.313
Au1 0.242 0.242 0.000
Au2 0.278 0.000 0.278
Au3 0.722 0.000 0.722
Au4 0.758 0.758 0.000

Properties
- calculated formation energy (eV/f.u.) = -1.85
- space-group type = Immm
- relative energy among the computed polymorphs (meV per atom) = 24

***

Entry 7:
Computed, not measured: a relaxed structure of Sm7Y2Ho at the GGA-PBE level of DFT.

Cell: 9.760 9.760 5.322 Å, 90.00 90.00 127.20°
Sites, in units of the cell vectors:
Sm1 0.000 0.000 0.000
Sm2 0.212 0.428 0.000
Sm3 0.303 0.697 0.500
Sm4 0.428 0.212 0.000
Sm5 0.572 0.788 0.000
Sm6 0.697 0.303 0.500
Sm7 0.788 0.572 0.000
Y1 0.205 0.795 0.000
Y2 0.795 0.205 0.000
Ho1 0.500 0.500 0.500

Properties
- calculated formation energy (eV/f.u.) = 6.64
- space-group type = Cmmm
- relative energy among the computed polymorphs (meV per atom) = 651

***

Entry 8:
Computed, not measured: a relaxed structure of ReHO at the GGA-PBE level of DFT.

Cell: 5.423 3.016 8.894 Å, 90.00 101.15 90.00°
Sites, in units of the cell vectors:
Re1 0.212 0.000 0.132
Re2 0.288 0.500 0.868
Re3 0.712 0.500 0.132
Re4 0.788 0.000 0.868
H1 0.051 0.500 0.172
H2 0.449 0.000 0.828
H3 0.551 0.000 0.172
H4 0.949 0.500 0.828
O1 0.221 0.500 0.668
O2 0.279 0.000 0.332
O3 0.721 0.000 0.668
O4 0.779 0.500 0.332

Properties
- VASP energy (eV for the cell shown) = -83.7
- space-group type = C2/m